Record 1
VASP calculation (PBE) on crystalline Pr4GeI5 at its relaxed geometry.

```
10
Lattice="-0.207 -0.318 -4.344 3.415 -8.511 0.460 -9.637 -1.381 2.750" Properties=species:S:1:pos:R:3 pbc="T T T"
Pr -3.674 -8.966 0.832
Pr 2.676 -6.671 0.361
Pr -2.755 -1.244 -1.966
Pr -9.105 -3.539 -1.495
Ge -0.104 -0.159 -2.172
I -4.328 -6.837 -1.481
I -5.914 -2.668 -1.711
I -0.515 -7.542 0.577
I 1.604 -4.414 -1.942
I -2.101 -3.373 0.347
```

Output
- Formation energy from raw total energies: -1270 meV per atom
- Raw total energy: -0.162 Ha/atom
- Space group: No. 12

---

Record 2
VASP calculation (PBE) on crystalline ScSbIrRh at its relaxed geometry.

```
4
Lattice="-0.095 -4.418 1.235 3.481 -1.788 2.395 -0.592 -1.139 4.405" Properties=species:S:1:pos:R:3 pbc="T T T"
Sc 0.000 0.000 0.000
Sb 1.397 -3.672 4.017
Ir 0.698 -1.836 2.009
Rh 2.095 -5.508 6.026
```

Output
- Formation energy from raw total energies: -629 meV per atom
- Raw total energy: -0.268 Ha/atom
- Space group: No. 216

---

Which of these has the highest raw total energy?
Pr4GeI5